Record 1
! YSiPd2, optimized geometry, DFT PBE; values from VASP
! ρ = 7.65 g/cm3
! total energy = -50.63 eV/cell
&SYSTEM
  ibrav = 0, nat = 8, ntyp = 3
/
ATOMIC_SPECIES
Pd 106.42 Pd.upf
Si 28.09 Si.upf
Y 88.91 Y.upf
CELL_PARAMETERS angstrom
-1.7746 -1.3776 3.4168
-4.4469 -3.7765 -3.8323
3.1967 -3.8669 0.1013
ATOMIC_POSITIONS crystal
Pd 0.5000 0.5934 0.0434
Pd 0.5000 0.4066 0.5434
Pd 0.0000 0.1286 0.5867
Pd 0.0000 0.8714 0.0867
Si 0.0000 0.5320 0.3062
Si 0.0000 0.4680 0.8062
Y 0.5000 0.1728 0.0637
Y 0.5000 0.8272 0.5637

Record 2
! TbPb, optimized geometry, DFT PBE; values from VASP
! ρ = 9.58 g/cm3
! total energy = -17.74 eV/cell
&SYSTEM
  ibrav = 0, nat = 4, ntyp = 2
/
ATOMIC_SPECIES
Pb 207.20 Pb.upf
Tb 158.93 Tb.upf
CELL_PARAMETERS angstrom
-1.2534 -2.6374 3.2110
4.0739 -0.1748 -1.4867
2.1382 5.3512 5.2300
ATOMIC_POSITIONS crystal
Pb 0.3333 0.6667 0.2500
Pb 0.6667 0.3333 0.7500
Tb 0.0000 0.0000 0.0000
Tb 0.0000 0.0000 0.5000

Record 3
! HfMgFePb, optimized geometry, DFT PBE; values from VASP
! ρ = 9.92 g/cm3
! excess energy over the best structure of this formula in the dataset = 11 meV per atom
! total energy = -22.56 eV/cell
&SYSTEM
  ibrav = 0, nat = 4, ntyp = 4
/
ATOMIC_SPECIES
Hf 178.49 Hf.upf
Fe 55.84 Fe.upf
Mg 24.30 Mg.upf
Pb 207.20 Pb.upf
CELL_PARAMETERS angstrom
1.2737 2.5918 3.8280
-2.7036 3.7072 1.3929
-2.5571 -0.2840 4.0464
ATOMIC_POSITIONS crystal
Hf 0.2500 0.2500 0.2500
Fe 0.0000 0.0000 0.0000
Mg 0.7500 0.7500 0.7500
Pb 0.5000 0.5000 0.5000

Record 4
! SrTbAuS3, optimized geometry, DFT PBE; values from VASP
! ρ = 6.35 g/cm3
! total energy = -62.31 eV/cell
&SYSTEM
  ibrav = 0, nat = 12, ntyp = 4
/
ATOMIC_SPECIES
S 32.06 S.upf
Sr 87.62 Sr.upf
Tb 158.93 Tb.upf
Au 196.97 Au.upf
CELL_PARAMETERS angstrom
8.8340 -1.9804 0.0000
8.8340 1.9804 0.0000
-1.7260 0.0000 8.0610
ATOMIC_POSITIONS crystal
S 0.0000 0.0000 0.5000
S 0.6750 0.6750 0.3621
S 0.5000 0.5000 0.0000
S 0.6845 0.6845 0.8313
S 0.3250 0.3250 0.6379
S 0.3155 0.3155 0.1687
Sr 0.1299 0.1299 0.0771
Sr 0.8701 0.8701 0.9229
Tb 0.8361 0.8361 0.4106
Tb 0.1639 0.1639 0.5894
Au 0.4599 0.4599 0.2811
Au 0.5401 0.5401 0.7189

Record 5
! SrGa2IrAu, optimized geometry, DFT PBE; values from VASP
! ρ = 9.84 g/cm3
! total energy = -45.46 eV/cell
&SYSTEM
  ibrav = 0, nat = 10, ntyp = 4
/
ATOMIC_SPECIES
Au 196.97 Au.upf
Sr 87.62 Sr.upf
Ga 69.72 Ga.upf
Ir 192.22 Ir.upf
CELL_PARAMETERS angstrom
-1.3900 -1.5187 -4.0054
-3.8931 -1.3088 1.8473
-4.0702 9.1851 -2.0700
ATOMIC_POSITIONS crystal
Au 0.5000 0.5000 0.0000
Au 0.0000 0.0000 0.0000
Sr 0.0000 0.5000 0.2543
Sr 0.5000 0.0000 0.7458
Ga 0.0000 0.0000 0.5000
Ga 0.5000 0.0000 0.1396
Ga 0.5000 0.5000 0.5000
Ga 0.0000 0.5000 0.8604
Ir 0.5000 0.0000 0.3806
Ir 0.0000 0.5000 0.6194

Record 6
! PmSnNO, optimized geometry, DFT PBE; values from VASP
! ρ = 6.87 g/cm3
! excess energy over the best structure of this formula in the dataset = 79 meV per atom
! total energy = -109.07 eV/cell
&SYSTEM
  ibrav = 0, nat = 16, ntyp = 4
/
ATOMIC_SPECIES
Sn 118.71 Sn.upf
Pm 145.00 Pm.upf
N 14.01 N.upf
O 16.00 O.upf
CELL_PARAMETERS angstrom
6.8437 0.0000 0.0000
0.0000 7.1850 0.0000
0.0000 0.0000 5.7776
ATOMIC_POSITIONS crystal
Sn 0.1191 0.1665 0.9684
Sn 0.8809 0.8335 0.4684
Sn 0.6191 0.8335 0.9684
Sn 0.3809 0.1665 0.4684
Pm 0.9143 0.3436 0.4777
Pm 0.5857 0.3436 0.9777
Pm 0.0857 0.6564 0.9777
Pm 0.4143 0.6564 0.4777
N 0.9151 0.3797 0.0712
N 0.5849 0.3797 0.5712
N 0.0849 0.6203 0.5712
N 0.4151 0.6203 0.0712
O 0.4415 0.9371 0.6851
O 0.9415 0.0629 0.6851
O 0.5585 0.0629 0.1851
O 0.0585 0.9371 0.1851

Record 7
! TbCo4B4, optimized geometry, DFT PBE; values from VASP
! ρ = 8.30 g/cm3
! total energy = -128.49 eV/cell
&SYSTEM
  ibrav = 0, nat = 18, ntyp = 3
/
ATOMIC_SPECIES
Co 58.93 Co.upf
B 10.81 B.upf
Tb 158.93 Tb.upf
CELL_PARAMETERS angstrom
5.0087 0.0000 0.0000
0.0000 5.0087 0.0000
0.0000 0.0000 6.9876
ATOMIC_POSITIONS crystal
Co 0.2538 0.5000 0.8644
Co 0.5000 0.7462 0.1356
Co 0.0000 0.2462 0.3644
Co 0.5000 0.2538 0.1356
Co 0.7538 0.0000 0.6356
Co 0.2462 0.0000 0.6356
Co 0.0000 0.7538 0.3644
Co 0.7462 0.5000 0.8644
B 0.5000 0.8251 0.8401
B 0.6749 0.0000 0.3401
B 0.3251 0.0000 0.3401
B 0.0000 0.6749 0.6599
B 0.8251 0.5000 0.1599
B 0.0000 0.3251 0.6599
B 0.1749 0.5000 0.1599
B 0.5000 0.1749 0.8401
Tb 0.0000 0.0000 0.0000
Tb 0.5000 0.5000 0.5000

Record 8
! KLu8, optimized geometry, DFT PBE; values from VASP
! ρ = 7.95 g/cm3
! total energy = -66.98 eV/cell
&SYSTEM
  ibrav = 0, nat = 18, ntyp = 2
/
ATOMIC_SPECIES
Lu 174.97 Lu.upf
K 39.10 K.upf
CELL_PARAMETERS angstrom
0.0000 5.5664 11.8331
4.5625 0.0000 11.8331
4.5625 5.5664 0.0000
ATOMIC_POSITIONS crystal
Lu 0.5177 0.0583 0.7191
Lu 0.3399 0.8906 0.4473
Lu 0.3594 0.9101 0.9278
Lu 0.7048 0.7191 0.0583
Lu 0.1917 0.7323 0.5452
Lu 0.7323 0.1917 0.5309
Lu 0.3222 0.4473 0.8906
Lu 0.9278 0.8027 0.3594
Lu 0.5452 0.5309 0.1917
Lu 0.0583 0.5177 0.7048
Lu 0.7191 0.7048 0.5177
Lu 0.5309 0.5452 0.7323
Lu 0.8027 0.9278 0.9101
Lu 0.4473 0.3222 0.3399
Lu 0.9101 0.3594 0.8027
Lu 0.8906 0.3399 0.3222
K 0.0000 0.0000 0.0000
K 0.2500 0.2500 0.2500

Record 9
! LiNd2Te6Os, optimized geometry, DFT PBE; values from VASP
! ρ = 7.36 g/cm3
! total energy = -97.58 eV/cell
&SYSTEM
  ibrav = 0, nat = 20, ntyp = 4
/
ATOMIC_SPECIES
Te 127.60 Te.upf
Os 190.23 Os.upf
Nd 144.24 Nd.upf
Li 6.94 Li.upf
CELL_PARAMETERS angstrom
7.2165 0.0000 0.0000
0.0006 7.7006 0.0000
0.1809 0.0003 10.1602
ATOMIC_POSITIONS crystal
Te 0.1416 0.9969 0.2436
Te 0.1721 0.6708 0.5547
Te 0.3278 0.1708 0.9453
Te 0.6416 0.5031 0.7436
Te 0.6722 0.8292 0.0547
Te 0.8279 0.3292 0.4453
Te 0.3459 0.1847 0.5529
Te 0.1541 0.6848 0.9470
Te 0.6541 0.8153 0.4471
Te 0.8459 0.3152 0.0530
Te 0.8584 0.0031 0.7564
Te 0.3584 0.4969 0.2564
Os 0.0000 0.0000 0.0000
Os 0.5000 0.5000 0.5000
Nd 0.0515 0.3680 0.7480
Nd 0.5515 0.1320 0.2480
Nd 0.9485 0.6320 0.2520
Nd 0.4485 0.8680 0.7520
Li 0.5000 0.5000 0.0000
Li 0.0000 0.0000 0.5000

Record 10
! Er3Zn2Au, optimized geometry, DFT PBE; values from VASP
! ρ = 10.34 g/cm3
! total energy = -22.72 eV/cell
&SYSTEM
  ibrav = 0, nat = 6, ntyp = 3
/
ATOMIC_SPECIES
Er 167.26 Er.upf
Zn 65.41 Zn.upf
Au 196.97 Au.upf
CELL_PARAMETERS angstrom
-1.3869 2.1997 -2.4234
-2.7833 0.5920 2.1302
5.1063 8.0923 4.4231
ATOMIC_POSITIONS crystal
Er 0.5000 0.5000 0.6683
Er 0.5000 0.5000 0.3317
Er 0.5000 0.5000 0.0000
Zn 0.0000 0.0000 0.1610
Zn 0.0000 0.0000 0.8390
Au 0.0000 0.0000 0.5000

Record 11
! PrNd2Pd3Pb3, optimized geometry, DFT PBE; values from VASP
! ρ = 10.34 g/cm3
! total energy = -47.48 eV/cell
&SYSTEM
  ibrav = 0, nat = 9, ntyp = 4
/
ATOMIC_SPECIES
Pb 207.20 Pb.upf
Pd 106.42 Pd.upf
Pr 140.91 Pr.upf
Nd 144.24 Nd.upf
CELL_PARAMETERS angstrom
-1.9332 2.0806 -2.9182
-6.9521 -2.0478 3.1455
3.5999 6.6311 2.3430
ATOMIC_POSITIONS crystal
Pb 0.5000 0.7406 0.7406
Pb 0.5000 0.2596 0.9994
Pb 0.5000 0.9994 0.2596
Pd 0.5000 0.6678 0.3329
Pd 0.5000 0.3329 0.6678
Pd 0.0000 0.9992 0.9992
Pr 0.0000 0.4053 0.4053
Nd 0.0000 0.5951 0.0001
Nd 0.0000 0.0001 0.5951

Record 12
! Lu2HgBi, optimized geometry, DFT PBE; values from VASP
! ρ = 11.18 g/cm3
! total energy = -13.36 eV/cell
&SYSTEM
  ibrav = 0, nat = 4, ntyp = 3
/
ATOMIC_SPECIES
Hg 200.59 Hg.upf
Bi 208.98 Bi.upf
Lu 174.97 Lu.upf
CELL_PARAMETERS angstrom
0.0000 3.8349 3.8349
3.8349 0.0000 3.8349
3.8349 3.8349 0.0000
ATOMIC_POSITIONS crystal
Hg 0.2500 0.2500 0.2500
Bi 0.5000 0.5000 0.5000
Lu 0.0000 0.0000 0.0000
Lu 0.7500 0.7500 0.7500

Record 13
! CsTaCl6, optimized geometry, DFT PBE; values from VASP
! ρ = 3.58 g/cm3
! total energy = -72.77 eV/cell
&SYSTEM
  ibrav = 0, nat = 16, ntyp = 3
/
ATOMIC_SPECIES
Cl 35.45 Cl.upf
Ta 180.95 Ta.upf
Cs 132.91 Cs.upf
CELL_PARAMETERS angstrom
-4.4746 -5.3404 -0.1630
0.3447 -5.2607 -4.5580
8.0203 -3.8779 8.7242
ATOMIC_POSITIONS crystal
Cl 0.0480 0.2936 0.8552
Cl 0.6395 0.5489 0.2073
Cl 0.2064 0.4545 0.1427
Cl 0.2936 0.0480 0.3552
Cl 0.5475 0.3815 0.9065
Cl 0.9548 0.1177 0.5917
Cl 0.3815 0.5475 0.4065
Cl 0.4545 0.2064 0.6427
Cl 0.9534 0.8602 0.7909
Cl 0.8602 0.9534 0.2909
Cl 0.1177 0.9548 0.0917
Cl 0.5489 0.6395 0.7073
Ta 0.7512 0.2500 0.7492
Ta 0.2500 0.7512 0.2492
Cs 0.8720 0.6279 0.4994
Cs 0.6279 0.8720 0.9994

Record 14
! Zn2SO, optimized geometry, DFT PBE; values from VASP
! ρ = 5.31 g/cm3
! excess energy over the best structure of this formula in the dataset = 498 meV per atom
! total energy = -27.77 eV/cell
&SYSTEM
  ibrav = 0, nat = 8, ntyp = 3
/
ATOMIC_SPECIES
Zn 65.41 Zn.upf
S 32.06 S.upf
O 16.00 O.upf
CELL_PARAMETERS angstrom
-3.3232 0.0000 0.0000
0.0000 0.0000 -5.7964
-1.6616 -5.8060 0.0000
ATOMIC_POSITIONS crystal
Zn 0.8742 0.2500 0.2515
Zn 0.5835 0.2500 0.8329
Zn 0.4165 0.7500 0.1671
Zn 0.1258 0.7500 0.7485
S 0.2363 0.2500 0.5275
S 0.7637 0.7500 0.4725
O 0.0000 0.5000 0.0000
O 0.0000 0.0000 0.0000

Record 15
! Hf3Zn3NiAu2, optimized geometry, DFT PBE; values from VASP
! ρ = 12.66 g/cm3
! total energy = -49.31 eV/cell
&SYSTEM
  ibrav = 0, nat = 9, ntyp = 4
/
ATOMIC_SPECIES
Zn 65.41 Zn.upf
Hf 178.49 Hf.upf
Au 196.97 Au.upf
Ni 58.69 Ni.upf
CELL_PARAMETERS angstrom
7.2489 0.0000 0.0000
-3.6245 6.2777 0.0000
0.0000 0.0000 3.4132
ATOMIC_POSITIONS crystal
Zn 0.2591 0.0000 0.5000
Zn 0.7409 0.7409 0.5000
Zn 0.0000 0.2591 0.5000
Hf 0.0000 0.6242 0.0000
Hf 0.3758 0.3758 0.0000
Hf 0.6242 0.0000 0.0000
Au 0.3333 0.6667 0.5000
Au 0.6667 0.3333 0.5000
Ni 0.0000 0.0000 0.0000

Record 16
! Pr4Mg5Ge6, optimized geometry, DFT PBE; values from VASP
! ρ = 5.17 g/cm3
! total energy = -127.69 eV/cell
&SYSTEM
  ibrav = 0, nat = 30, ntyp = 3
/
ATOMIC_SPECIES
Ge 72.64 Ge.upf
Mg 24.30 Mg.upf
Pr 140.91 Pr.upf
CELL_PARAMETERS angstrom
7.6314 -2.4320 -6.4248
-8.0612 5.5051 3.1845
9.8427 9.7947 7.9836
ATOMIC_POSITIONS crystal
Ge 0.7321 0.2679 0.4993
Ge 0.2739 0.7261 0.2864
Ge 0.0720 0.9280 0.6384
Ge 0.0669 0.9331 0.3633
Ge 0.9331 0.0669 0.8633
Ge 0.2679 0.7321 0.9993
Ge 0.6131 0.3869 0.1458
Ge 0.7261 0.2739 0.7864
Ge 0.0553 0.9447 0.9142
Ge 0.3869 0.6131 0.6458
Ge 0.9447 0.0553 0.4142
Ge 0.9280 0.0720 0.1384
Mg 0.8028 0.1972 0.6454
Mg 0.9420 0.0580 0.5957
Mg 0.1605 0.8395 0.4981
Mg 0.3452 0.6548 0.1418
Mg 0.6548 0.3452 0.6418
Mg 0.1972 0.8028 0.1454
Mg 0.8395 0.1605 0.9981
Mg 0.0580 0.9420 0.0957
Mg 0.1503 0.8497 0.7862
Mg 0.8497 0.1503 0.2862
Pr 0.4869 0.5131 0.2640
Pr 0.4672 0.5328 0.0009
Pr 0.3250 0.6750 0.8224
Pr 0.5131 0.4869 0.7640
Pr 0.5328 0.4672 0.5009
Pr 0.3354 0.6646 0.4625
Pr 0.6750 0.3250 0.3224
Pr 0.6646 0.3354 0.9625

Record 17
! Er2SiSeO4, optimized geometry, DFT PBE; values from VASP
! ρ = 7.66 g/cm3
! total energy = -247.28 eV/cell
&SYSTEM
  ibrav = 0, nat = 32, ntyp = 4
/
ATOMIC_SPECIES
O 16.00 O.upf
Er 167.26 Er.upf
Si 28.09 Si.upf
Se 78.96 Se.upf
CELL_PARAMETERS angstrom
-3.9372 3.3727 -2.9581
-5.1287 -3.8902 2.3908
-0.8983 6.4122 8.5067
ATOMIC_POSITIONS crystal
O 0.2785 0.0665 0.5320
O 0.2785 0.4335 0.4680
O 0.0553 0.7417 0.1220
O 0.7215 0.5665 0.9680
O 0.9447 0.2417 0.3780
O 0.7215 0.9335 0.0320
O 0.9447 0.2417 0.1220
O 0.9447 0.2583 0.6220
O 0.2785 0.0665 0.9680
O 0.9447 0.2583 0.8780
O 0.7215 0.5665 0.5320
O 0.0553 0.7583 0.6220
O 0.2785 0.4335 0.0320
O 0.7215 0.9335 0.4680
O 0.0553 0.7583 0.8780
O 0.0553 0.7417 0.3780
Er 0.1330 0.4727 0.2500
Er 0.3918 0.7500 0.0000
Er 0.3918 0.7500 0.5000
Er 0.6082 0.2500 0.5000
Er 0.6082 0.2500 0.0000
Er 0.8670 0.5273 0.7500
Er 0.1330 0.0273 0.7500
Er 0.8670 0.9727 0.2500
Si 0.8867 0.7500 0.0000
Si 0.1133 0.2500 0.0000
Si 0.8867 0.7500 0.5000
Si 0.1133 0.2500 0.5000
Se 0.5758 0.6275 0.2500
Se 0.4242 0.3725 0.7500
Se 0.4242 0.1275 0.2500
Se 0.5758 0.8725 0.7500